1.
A relaxed Co2SnRuC crystal. Source: Alexandria, functional PBE-GGA.

a b c (Å): 3.878 3.878 4.059
angles (deg): 90.00 90.00 90.00
Fractional coordinates of all 5 atoms:
1 C 0.000 0.000 0.000
2 Sn 0.500 0.500 0.500
3 Co 0.000 0.500 0.000
4 Co 0.500 0.000 0.000
5 Ru 0.000 0.000 0.500

Space-group type = P4/mmm
Calculated total energy = -36.488 eV per cell

***

2.
A relaxed SbPtBr3 crystal. Source: Alexandria, functional PBE-GGA.

a b c (Å): 5.141 5.141 5.141
angles (deg): 90.00 90.00 90.00
Fractional coordinates of all 5 atoms:
1 Br 0.500 0.000 0.000
2 Br 0.000 0.500 0.000
3 Br 0.000 0.000 0.500
4 Pt 0.000 0.000 0.000
5 Sb 0.500 0.500 0.500

Space-group type = Pm-3m
E above lowest polymorph = 0.0000 eV/atom
Formation energy (no corrections) = 0.232 eV/atom